Entry 1:
Material: ReAsNF2
Method: DFT, PBE-GGA
State: relaxed

a = 4.225 Å, b = 4.225 Å, c = 3.840 Å
α = 90.00°, β = 90.00°, γ = 90.00°
Fractional positions:
Re1 0.000 0.000 0.000
As1 0.500 0.500 0.500
N1 0.000 0.000 0.500
F1 0.000 0.500 0.000
F2 0.500 0.000 0.000

Calculated values
E_form (uncorrected): -0.032 eV per atom
M_tot: 0.56 μB per cell
symmetry: No. 123
relative energy among the computed polymorphs: 0.0000 eV/atom
electronic total energy: -5.8652 eV per atom
D(E_F): 4.8 states/eV/f.u.

=====

Entry 2:
Material: Ca2YZn2
Method: DFT, PBE-GGA
State: relaxed

a = 8.763 Å, b = 8.763 Å, c = 3.358 Å
α = 90.00°, β = 90.00°, γ = 90.00°
Fractional positions:
Ca1 0.134 0.366 0.000
Ca2 0.366 0.866 0.000
Ca3 0.634 0.134 0.000
Ca4 0.866 0.634 0.000
Y1 0.000 0.000 0.000
Y2 0.500 0.500 0.000
Zn1 0.164 0.664 0.500
Zn2 0.336 0.164 0.500
Zn3 0.664 0.836 0.500
Zn4 0.836 0.336 0.500

Calculated values
M_tot: 0.38 μB per cell
symmetry: No. 127
relative energy among the computed polymorphs: 0.1182 eV/atom
electronic total energy: -2.6557 eV per atom
energy of formation from the pure elements: -0.05 eV per atom
D(E_F): 2.1 states/eV/f.u.

=====

Entry 3:
Material: AlAg2BrCl
Method: DFT, PBE-GGA
State: relaxed

a = 5.049 Å, b = 5.049 Å, c = 7.167 Å
α = 90.00°, β = 90.00°, γ = 90.00°
Fractional positions:
Al1 0.000 0.000 0.000
Ag1 0.000 0.500 0.500
Ag2 0.500 0.000 0.500
Br1 0.500 0.500 0.500
Cl1 0.500 0.500 0.000

Calculated values
E_form (uncorrected): 0.390 eV per atom
M_tot: 0.00 μB per cell
symmetry: No. 123
electronic total energy: -2.2031 eV per atom
D(E_F): 1.8 states/eV/f.u.